The following is a DFT calculation (GGA-PBE) of CsRb2Ca after structural relaxation.

Formation energy from the elements: 0.24 eV/atom
Fermi-level density of states: 4.297 states/eV/f.u.
Crystal system: trigonal
Polymorph energy (0 for the lowest one): 82 meV per atom

```
4
Lattice="2.2872 1.3205 17.3952 -2.2872 1.3205 17.3952 0.0000 -2.6411 17.3952" Properties=species:S:1:pos:R:3 pbc="T T T"
Cs 0.0000 0.0000 0.0000
Rb 0.0000 0.0000 21.9238
Rb 0.0000 0.0000 30.2617
Ca 0.0000 0.0000 26.0928
```



The following is a DFT calculation (GGA-PBE) of Ag3HgAu after structural relaxation.

Formation energy from the elements: 0.04 eV/atom
Fermi-level density of states: 1.426 states/eV/f.u.
Crystal system: monoclinic
Polymorph energy (0 for the lowest one): 35 meV per atom

```
10
Lattice="6.7528 -2.4902 0.0000 6.7528 2.4902 0.0000 -1.6821 0.0000 5.6334" Properties=species:S:1:pos:R:3 pbc="T T T"
Ag 0.6123 0.0000 2.5416
Ag 3.4008 0.0000 1.9866
Ag 2.5784 0.0000 4.7982
Ag 9.2451 0.0000 0.8352
Ag 8.4227 0.0000 3.6468
Ag 11.2111 0.0000 3.0918
Hg 6.3245 0.0000 1.4148
Hg 5.4990 0.0000 4.2186
Au -0.2219 0.0000 5.3540
Au 12.0453 0.0000 0.2794
```



The following is a DFT calculation (GGA-PBE) of ZrNbRh4 after structural relaxation.

Formation energy from the elements: -0.35 eV/atom
Fermi-level density of states: 5.441 states/eV/f.u.
Crystal system: orthorhombic

```
12
Lattice="1.9639 -13.7116 0.0000 1.9639 13.7116 0.0000 0.0000 0.0000 3.8732" Properties=species:S:1:pos:R:3 pbc="T T T"
Zr 1.9639 11.8170 0.0000
Zr 1.9639 -11.8170 0.0000
Nb 1.9639 5.6385 1.9366
Nb 1.9639 -5.6385 1.9366
Rh 0.0000 0.0000 1.9366
Rh 1.9639 9.8316 1.9366
Rh 1.9639 7.8603 0.0000
Rh 1.9639 3.8841 0.0000
Rh 1.9639 0.0000 0.0000
Rh 1.9639 -3.8841 0.0000
Rh 1.9639 -7.8603 0.0000
Rh 1.9639 -9.8316 1.9366
```



Q: Among the records above, which one has the lowest Fermi-level density of states?
A: Ag3HgAu